# 1
A plane-wave DFT calculation with PBE-GGA was carried out for Ta2AsPt after structural relaxation.

Unit cell a=2.8993 b=2.8993 c=8.3705 alpha=90.00 beta=90.00 gamma=90.00
Last column: nearest neighbours and their distance in Å.
Space group P4mm (No. 99)
One atom of each set of equivalent atoms:
Ta  0.0000  0.0000  0.0000 (multiplicity 1)  4 Pt 2.79, 8 Ta 2.90-3.02
Ta  0.5000  0.5000  0.2646 (multiplicity 1)  8 Ta 2.90-3.02, 4 As 2.90
As  0.0000  0.0000  0.5104 (multiplicity 1)  4 As 2.90, 4 Ta 2.90, 4 Pt 3.02
Pt  0.5000  0.5000  0.7746 (multiplicity 1)  4 Ta 2.79, 4 Pt 2.90, 4 As 3.02

Calculated values
Its formation energy is -0.175 eV per atom. The value obtained for the total magnetic moment is 0.00 μB/atom.

***

# 2
A plane-wave DFT calculation with PBE-GGA was carried out for NdTlS14 after structural relaxation.

Unit cell a=9.6612 b=13.1725 c=14.4502 alpha=90.00 beta=90.00 gamma=90.00
Last column: nearest neighbours and their distance in Å.
Space group Imma (No. 74)
One atom of each set of equivalent atoms:
Nd  0.2500  0.2500  0.2500 (multiplicity 4)  8 S 3.04-3.09
Tl  0.0000  0.2500  0.5921 (multiplicity 4)  8 S 3.33-3.48
S  0.0000  0.0922  0.3604 (multiplicity 8)  2 S 2.01
S  0.0000  0.1328  0.1703 (multiplicity 8)  1 S 2.02
S  0.0000  0.1668  0.0340 (multiplicity 8)  2 S 2.02-2.19
S  0.1753  0.1339  0.4244 (multiplicity 16)  1 S 2.01
S  0.2012  0.1513  0.8077 (multiplicity 16)  1 S 1.92

Calculated values
The value obtained for the total magnetic moment is 0.00 μB/atom. The value obtained for the energy relative to the elements, uncorrected is -0.17 eV/atom.

***

# 3
A plane-wave DFT calculation with PBE-GGA was carried out for CeZrH2 after structural relaxation.

Unit cell a=3.2351 b=3.2351 c=17.9186 alpha=90.00 beta=90.00 gamma=120.00
Last column: nearest neighbours and their distance in Å.
Space group R3m (No. 160, hexagonal axes)
One atom of each set of equivalent atoms:
Ce  0.0000  0.0000  0.0000 (multiplicity 3)  6 H 2.55-2.68
Zr  0.0000  0.0000  0.8265 (multiplicity 3)  6 H 2.18-2.22
H  0.0000  0.0000  0.2265 (multiplicity 3)  3 Zr 2.22
H  0.0000  0.0000  0.4304 (multiplicity 3)  3 Zr 2.18

Calculated values
For the energy above the most stable polymorph in this dataset, the calculation gives 55.8 meV per atom. The value obtained for the total magnetic moment is 0.00 μB/atom.

***

# 4
A plane-wave DFT calculation with PBE-GGA was carried out for KLiZn2Cu after structural relaxation.

Unit cell a=4.7979 b=4.7979 c=5.0634 alpha=90.00 beta=90.00 gamma=90.00
Last column: nearest neighbours and their distance in Å.
Space group P4/mmm (No. 123)
One atom of each set of equivalent atoms:
K  0.0000  0.0000  0.0000 (multiplicity 1)  4 Li 3.39, 8 Zn 3.49
Li  0.5000  0.5000  0.0000 (multiplicity 1)  2 Cu 2.53
Zn  0.0000  0.5000  0.5000 (multiplicity 2)  2 Cu 2.40
Cu  0.5000  0.5000  0.5000 (multiplicity 1)  4 Zn 2.40, 2 Li 2.53

Calculated values
Its formation energy is 0.085 eV per atom. The value obtained for the total magnetic moment is 0.00 μB/atom.

***

# 5
A plane-wave DFT calculation with PBE-GGA was carried out for HfPaPt2 after structural relaxation.

Unit cell a=4.5420 b=4.5420 c=14.0059 alpha=90.00 beta=90.00 gamma=120.00
Last column: nearest neighbours and their distance in Å.
Space group R-3m (No. 166, hexagonal axes)
One atom of each set of equivalent atoms:
Hf  0.0000  0.0000  0.0000 (multiplicity 3)  6 Pt 2.76
Pa  0.0000  0.0000  0.5000 (multiplicity 3)  8 Pt 3.02-3.18
Pt  0.0000  0.0000  0.2729 (multiplicity 6)  3 Hf 2.76, 3 Pa 3.02

Calculated values
For the energy above the most stable polymorph in this dataset, the calculation gives 127.7 meV per atom. Its formation energy is -0.891 eV per atom. The value obtained for the total magnetic moment is 0.00 μB/atom.

***

# 6
A plane-wave DFT calculation with PBE-GGA was carried out for DyLu2Pa after structural relaxation.

Unit cell a=3.3871 b=3.3871 c=9.9635 alpha=90.00 beta=90.00 gamma=90.00
Last column: nearest neighbours and their distance in Å.
Space group P4/mmm (No. 123)
One atom of each set of equivalent atoms:
Dy  0.0000  0.0000  0.0000 (multiplicity 1)  4 Dy 3.39, 8 Lu 3.56
Lu  0.5000  0.5000  0.2645 (multiplicity 2)  4 Pa 3.35, 4 Lu 3.39, 4 Dy 3.56
Pa  0.0000  0.0000  0.5000 (multiplicity 1)  8 Lu 3.35, 4 Pa 3.39

Calculated values
For the energy above the most stable polymorph in this dataset, the calculation gives 0.0 meV per atom. Its formation energy is 0.119 eV per atom. The value obtained for the total magnetic moment is 0.08 μB/atom.

***

# 7
A plane-wave DFT calculation with PBE-GGA was carried out for LaPm6Er4 after structural relaxation.

Unit cell a=11.1195 b=11.1195 c=3.5745 alpha=90.00 beta=90.00 gamma=120.00
Last column: nearest neighbours and their distance in Å.
Space group P-6m2 (No. 187)
One atom of each set of equivalent atoms:
La  0.0000  0.0000  0.0000 (multiplicity 1)  2 La 3.57, 6 Er 3.65, 6 Pm 3.94
Pm  0.1825  0.3649  0.5000 (multiplicity 3)  4 Er 3.36-3.41, 6 Pm 3.57-3.74
Pm  0.5187  0.0374  0.0000 (multiplicity 3)  5 Er 3.55-3.57, 6 Pm 3.57-3.74
Er  0.3306  0.1653  0.5000 (multiplicity 3)  6 Pm 3.36-3.55, 2 Er 3.57, 2 La 3.65
Er  0.3333  0.6667  0.0000 (multiplicity 1)  9 Pm 3.41-3.57, 2 Er 3.57

Calculated values
Its formation energy is 0.157 eV per atom. The value obtained for the total magnetic moment is 0.00 μB/atom.

***

# 8
A plane-wave DFT calculation with PBE-GGA was carried out for NdTmZnAg after structural relaxation.

Unit cell a=7.2905 b=7.2905 c=7.2905 alpha=90.00 beta=90.00 gamma=90.00
Last column: nearest neighbours and their distance in Å.
Space group F-43m (No. 216)
One atom of each set of equivalent atoms:
Nd  0.0000  0.0000  0.0000 (multiplicity 4)  4 Ag 3.16, 4 Zn 3.16
Tm  0.0000  0.0000  0.5000 (multiplicity 4)  4 Zn 3.16, 4 Ag 3.16
Zn  0.2500  0.2500  0.7500 (multiplicity 4)  4 Nd 3.16, 4 Tm 3.16
Ag  0.2500  0.2500  0.2500 (multiplicity 4)  4 Tm 3.16, 4 Nd 3.16

Calculated values
For the energy above the most stable polymorph in this dataset, the calculation gives 19.6 meV per atom. Its formation energy is -0.296 eV per atom. The value obtained for the total magnetic moment is 0.00 μB/atom.

***

# 9
A plane-wave DFT calculation with PBE-GGA was carried out for TcSnP after structural relaxation.

Unit cell a=9.7760 b=3.2111 c=7.9076 alpha=90.00 beta=121.52 gamma=90.00
Last column: nearest neighbours and their distance in Å.
Space group Cm (No. 8)
One atom of each set of equivalent atoms:
Tc  0.0000  0.0000  0.0000 (multiplicity 2)  4 P 2.44-2.56
Tc  0.2175  0.5000  0.5934 (multiplicity 2)  3 P 2.41-2.47
Sn  0.2314  0.0000  0.9004 (multiplicity 2)  5 Tc 2.76-2.85, 3 P 2.97-3.01
Sn  0.4653  0.5000  0.3364 (multiplicity 2)  3 P 2.59-2.90, 3 Tc 2.75-2.85
P  0.1720  0.5000  0.2556 (multiplicity 2)  3 Tc 2.44-2.47, 1 Sn 2.59
P  0.4320  0.0000  0.7140 (multiplicity 2)  4 Tc 2.41-2.56

Calculated values
For the energy above the most stable polymorph in this dataset, the calculation gives 75.3 meV per atom. Its formation energy is -0.207 eV per atom. The value obtained for the total magnetic moment is 0.00 μB/atom.

***

# 10
A plane-wave DFT calculation with PBE-GGA was carried out for Na2PrHg9 after structural relaxation.

Unit cell a=4.7008 b=4.7008 c=13.9803 alpha=90.00 beta=90.00 gamma=90.00
Last column: nearest neighbours and their distance in Å.
Space group P4/mmm (No. 123)
One atom of each set of equivalent atoms:
Na  0.0000  0.0000  0.1636 (multiplicity 2)  12 Hg 3.28-3.32
Pr  0.0000  0.0000  0.5000 (multiplicity 1)  12 Hg 3.32-3.34
Hg  0.0000  0.5000  0.0000 (multiplicity 2)  4 Na 3.28, 8 Hg 3.31-3.32
Hg  0.0000  0.5000  0.3304 (multiplicity 4)  8 Hg 3.28-3.34, 2 Na 3.31, 2 Pr 3.34
Hg  0.5000  0.5000  0.1666 (multiplicity 2)  8 Hg 3.28-3.31, 4 Na 3.32
Hg  0.5000  0.5000  0.5000 (multiplicity 1)  4 Pr 3.32, 8 Hg 3.34

Calculated values
Its formation energy is -0.248 eV per atom. The value obtained for the total magnetic moment is 0.00 μB/atom.

***

# 11
A plane-wave DFT calculation with PBE-GGA was carried out for Y4ErS5 after structural relaxation.

Unit cell a=3.9110 b=5.5172 c=19.5502 alpha=90.00 beta=90.00 gamma=90.00
Last column: nearest neighbours and their distance in Å.
Space group Immm (No. 71)
One atom of each set of equivalent atoms:
Y  0.0000  0.0000  0.1002 (multiplicity 4)  6 S 2.76-2.77
Y  0.0000  0.0000  0.3008 (multiplicity 4)  6 S 2.76-2.78
Er  0.0000  0.0000  0.5000 (multiplicity 2)  6 S 2.74-2.76
S  0.0000  0.5000  0.0982 (multiplicity 4)  2 Er 2.74, 4 Y 2.76-2.78
S  0.0000  0.5000  0.2996 (multiplicity 4)  6 Y 2.76-2.77
S  0.0000  0.5000  0.5000 (multiplicity 2)  2 Er 2.76, 4 Y 2.77

Calculated values
The value obtained for the total magnetic moment is 0.00 μB/atom. The value obtained for the energy relative to the elements, uncorrected is -1.98 eV/atom.

***

# 12
A plane-wave DFT calculation with PBE-GGA was carried out for PaTl2CdO8 after structural relaxation.

Unit cell a=7.0240 b=7.0240 c=7.6790 alpha=90.00 beta=90.00 gamma=90.00
Last column: nearest neighbours and their distance in Å.
Space group I-4m2 (No. 119)
One atom of each set of equivalent atoms:
Pa  0.0000  0.0000  0.0000 (multiplicity 2)  8 O 2.16-2.40
Tl  0.0000  0.0000  0.5000 (multiplicity 2)  4 O 2.15
Tl  0.0000  0.5000  0.2500 (multiplicity 2)  4 O 2.14
Cd  0.0000  0.5000  0.7500 (multiplicity 2)  4 O 2.30
O  0.0000  0.1730  0.7306 (multiplicity 8)  1 Tl 2.15, 1 Cd 2.30, 1 Pa 2.40
O  0.0000  0.3048  0.0359 (multiplicity 8)  1 Tl 2.14, 1 Pa 2.16

Calculated values
The value obtained for the total magnetic moment is 0.24 μB/atom. The value obtained for the energy relative to the elements, uncorrected is -1.10 eV/atom.

***

# 13
A plane-wave DFT calculation with PBE-GGA was carried out for Ta2MnTc after structural relaxation.

Unit cell a=3.0037 b=3.0037 c=24.3632 alpha=90.00 beta=90.00 gamma=120.00
Last column: nearest neighbours and their distance in Å.
Space group R-3m (No. 166, hexagonal axes)
One atom of each set of equivalent atoms:
Ta  0.0000  0.0000  0.2461 (multiplicity 6)  3 Mn 2.60, 3 Tc 2.74
Mn  0.0000  0.0000  0.5000 (multiplicity 3)  6 Ta 2.60
Tc  0.0000  0.0000  0.0000 (multiplicity 3)  6 Ta 2.74, 6 Tc 3.00

Calculated values
Its formation energy is 0.109 eV per atom. The value obtained for the total magnetic moment is 0.10 μB/atom.

***

# 14
A plane-wave DFT calculation with PBE-GGA was carried out for BaZnHg2 after structural relaxation.

Unit cell a=4.9909 b=4.9909 c=4.9306 alpha=90.00 beta=90.00 gamma=90.00
Last column: nearest neighbours and their distance in Å.
Space group P4/mmm (No. 123)
One atom of each set of equivalent atoms:
Ba  0.0000  0.0000  0.0000 (multiplicity 1)  8 Hg 3.51, 4 Zn 3.53
Zn  0.5000  0.5000  0.0000 (multiplicity 1)  8 Hg 3.51, 4 Ba 3.53
Hg  0.0000  0.5000  0.5000 (multiplicity 2)  4 Ba 3.51, 4 Zn 3.51, 4 Hg 3.53

Calculated values
Its formation energy is -0.217 eV per atom. The value obtained for the total magnetic moment is 0.00 μB/atom.

***

# 15
A plane-wave DFT calculation with PBE-GGA was carried out for In2CoPAu after structural relaxation.

Unit cell a=5.1813 b=5.1813 c=4.8303 alpha=90.00 beta=90.00 gamma=90.00
Last column: nearest neighbours and their distance in Å.
Space group P4/mmm (No. 123)
One atom of each set of equivalent atoms:
In  0.0000  0.5000  0.0000 (multiplicity 2)  2 Au 2.59
Co  0.0000  0.0000  0.5000 (multiplicity 1)  2 Au 2.42
P  0.5000  0.5000  0.5000 (multiplicity 1)  8 In 3.54, 4 Co 3.66
Au  0.0000  0.0000  0.0000 (multiplicity 1)  2 Co 2.42, 4 In 2.59

Calculated values
Its formation energy is 0.874 eV per atom. The value obtained for the total magnetic moment is 0.46 μB/atom.

***

# 16
A plane-wave DFT calculation with PBE-GGA was carried out for Dy2ScCd after structural relaxation.

Unit cell a=3.5286 b=3.5286 c=8.7647 alpha=90.00 beta=90.00 gamma=90.00
Last column: nearest neighbours and their distance in Å.
Space group P4/mmm (No. 123)
One atom of each set of equivalent atoms:
Dy  0.0000  0.0000  0.2424 (multiplicity 2)  4 Cd 3.28, 4 Sc 3.36, 4 Dy 3.53
Sc  0.5000  0.5000  0.5000 (multiplicity 1)  8 Dy 3.36, 4 Sc 3.53
Cd  0.5000  0.5000  0.0000 (multiplicity 1)  8 Dy 3.28, 4 Cd 3.53

Calculated values
For the energy above the most stable polymorph in this dataset, the calculation gives 0.0 meV per atom. Its formation energy is -0.127 eV per atom. The value obtained for the total magnetic moment is 0.00 μB/atom.

***

# 17
A plane-wave DFT calculation with PBE-GGA was carried out for Hf2TiVI after structural relaxation.

Unit cell a=5.1906 b=5.1906 c=4.7508 alpha=90.00 beta=90.00 gamma=90.00
Last column: nearest neighbours and their distance in Å.
Space group P4/mmm (No. 123)
One atom of each set of equivalent atoms:
Hf  0.0000  0.5000  0.0000 (multiplicity 2)  2 I 2.60
Ti  0.0000  0.0000  0.5000 (multiplicity 1)  8 Hf 3.52, 4 V 3.67
V  0.5000  0.5000  0.5000 (multiplicity 1)  2 I 2.38
I  0.5000  0.5000  0.0000 (multiplicity 1)  2 V 2.38, 4 Hf 2.60

Calculated values
The value obtained for the total magnetic moment is 0.07 μB/atom. The value obtained for the energy relative to the elements, uncorrected is 1.34 eV/atom.

***

# 18
A plane-wave DFT calculation with PBE-GGA was carried out for NaMgPdPb after structural relaxation.

Unit cell a=6.9077 b=6.9077 c=6.9077 alpha=90.00 beta=90.00 gamma=90.00
Last column: nearest neighbours and their distance in Å.
Space group F-43m (No. 216)
One atom of each set of equivalent atoms:
Na  0.0000  0.0000  0.0000 (multiplicity 4)  4 Pb 2.99, 4 Mg 2.99
Mg  0.2500  0.2500  0.7500 (multiplicity 4)  4 Na 2.99, 4 Pd 2.99
Pd  0.0000  0.0000  0.5000 (multiplicity 4)  4 Pb 2.99, 4 Mg 2.99
Pb  0.2500  0.2500  0.2500 (multiplicity 4)  4 Na 2.99, 4 Pd 2.99

Calculated values
Its formation energy is -0.252 eV per atom. The value obtained for the total magnetic moment is 0.00 μB/atom.

***

# 19
A plane-wave DFT calculation with PBE-GGA was carried out for Sr5CdAu2 after structural relaxation.

Unit cell a=8.5639 b=8.5639 c=15.6537 alpha=90.00 beta=90.00 gamma=90.00
Last column: nearest neighbours and their distance in Å.
Space group I4/mcm (No. 140)
One atom of each set of equivalent atoms:
Sr  0.0000  0.0000  0.0000 (multiplicity 4)  4 Au 3.36
Sr  0.1655  0.3345  0.1388 (multiplicity 16)  3 Au 3.30-3.35, 2 Cd 3.64
Cd  0.0000  0.0000  0.2500 (multiplicity 4)  10 Sr 3.64-3.91
Au  0.1296  0.3704  0.5000 (multiplicity 8)  1 Au 3.14, 8 Sr 3.30-3.36

Calculated values
Its formation energy is -0.532 eV per atom. The value obtained for the total magnetic moment is 0.00 μB/atom.

***

# 20
A plane-wave DFT calculation with PBE-GGA was carried out for U2Fe4Sn2C after structural relaxation.

Unit cell a=6.4153 b=6.4153 c=7.0076 alpha=90.00 beta=90.00 gamma=90.00
Last column: nearest neighbours and their distance in Å.
Space group I4/mmm (No. 139)
One atom of each set of equivalent atoms:
U  0.0000  0.0000  0.1815 (multiplicity 4)  1 C 2.23
Fe  0.2196  0.2196  0.5000 (multiplicity 8)  1 C 1.99
Sn  0.0000  0.5000  0.2500 (multiplicity 4)  8 Fe 2.88
C  0.0000  0.0000  0.5000 (multiplicity 2)  4 Fe 1.99

Calculated values
Its formation energy is 0.116 eV per atom. The value obtained for the total magnetic moment is 0.68 μB/atom.